# Y2Si2GeIr5

A relaxed Y2Si2GeIr5 crystal (GGA-PBE, Alexandria via LeMat-Bulk).

Lattice parameters (Å, degrees): 9.634 9.634 3.562 90.00 90.00 90.00
Sites, in units of the cell vectors:
Y: 0.176 0.324 0.000
Y: 0.324 0.824 0.000
Y: 0.676 0.176 0.000
Y: 0.824 0.676 0.000
Si: 0.123 0.623 0.000
Si: 0.377 0.123 0.000
Si: 0.623 0.877 0.000
Si: 0.877 0.377 0.000
Ge: 0.000 0.000 0.000
Ge: 0.500 0.500 0.000
Ir: 0.000 0.500 0.500
Ir: 0.067 0.789 0.500
Ir: 0.211 0.067 0.500
Ir: 0.289 0.567 0.500
Ir: 0.433 0.289 0.500
Ir: 0.500 0.000 0.500
Ir: 0.567 0.711 0.500
Ir: 0.711 0.433 0.500
Ir: 0.789 0.933 0.500
Ir: 0.933 0.211 0.500

The raw formation energy comes out at -748.3 kJ/mol of formula units. The calculated volume is 331 Å³ per cell. Its symmetry is P4/mbm, No. 127.